1.
Here is crystalline PuNp2F11 at its relaxed geometry from the Alexandria database. Energies are from GGA-PBE.

POSCAR file:
```
PuNp2F11
1.0
-4.2186 5.2414 5.6247
4.2186 -5.2414 5.6247
4.2186 5.2414 -5.6247
Pu Np F
2 4 22
Direct
0.2500 0.2500 0.0000
0.7500 0.7500 0.0000
0.1813 0.6484 0.8298
0.3187 0.1484 0.4671
0.6813 0.8516 0.5329
0.8187 0.3516 0.1702
0.0000 0.5000 0.5000
0.0365 0.9497 0.2675
0.0656 0.3573 0.1499
0.1822 0.4497 0.9132
0.2074 0.9158 0.8501
0.2151 0.3708 0.5859
0.2849 0.8708 0.1558
0.2926 0.1427 0.7083
0.3178 0.2311 0.2675
0.4344 0.5842 0.2917
0.4635 0.7311 0.9132
0.5000 0.0000 0.5000
0.5365 0.2689 0.0868
0.5656 0.4158 0.7083
0.6822 0.7689 0.7325
0.7074 0.8573 0.2917
0.7151 0.1292 0.8442
0.7849 0.6292 0.4141
0.7926 0.0842 0.1499
0.8178 0.5503 0.0868
0.9344 0.6427 0.8501
0.9635 0.0503 0.7325
```

Summary:
As for the raw total energy: -7.859 eV per atom. As for the space-group type: Ibam, No. 72. As for the formation energy from raw total energies: -49.228 eV per formula unit.

***

2.
Here is crystalline BaLa2Mo at its relaxed geometry from the Alexandria database. Energies are from GGA-PBE.

POSCAR file:
```
BaLa2Mo
1.0
3.5357 -5.7129 0.0000
3.5357 5.7129 0.0000
-1.6750 0.0000 3.0500
Ba La Mo
1 2 1
Direct
0.0000 0.0000 0.0000
0.0000 0.5000 0.5000
0.5000 0.0000 0.5000
0.5000 0.5000 0.0000
```

Summary:
The value obtained for the polymorph energy (0 for the lowest one) is 0.489 eV/atom. As for the raw total energy: -4.810 eV per atom. As for the space-group type: C2/m, No. 12. As for the calculated formation energy: 3.37 eV per formula unit.

***

3.
Here is crystalline Sm6Dy3In at its relaxed geometry from the Alexandria database. Energies are from GGA-PBE.

POSCAR file:
```
Sm6Dy3In
1.0
12.8949 0.0000 0.0000
0.0000 3.5270 0.0000
-2.6418 0.0000 14.1520
Sm Dy In
12 6 2
Direct
0.0102 0.2500 0.3089
0.1589 0.2500 0.8841
0.2526 0.7500 0.3041
0.2702 0.7500 0.7138
0.3115 0.7500 0.0761
0.3882 0.2500 0.5350
0.6118 0.7500 0.4650
0.6885 0.2500 0.9239
0.7298 0.2500 0.2862
0.7474 0.2500 0.6959
0.8411 0.7500 0.1159
0.9898 0.7500 0.6911
0.0791 0.2500 0.0970
0.1297 0.7500 0.5012
0.4280 0.2500 0.8941
0.5720 0.7500 0.1059
0.8703 0.2500 0.4988
0.9209 0.7500 0.9030
0.4679 0.2500 0.2731
0.5321 0.7500 0.7269
```

Summary:
The value obtained for the polymorph energy (0 for the lowest one) is 0.000 eV/atom. As for the raw total energy: -4.496 eV per atom. As for the space-group type: P2_1/m, No. 11. As for the calculated formation energy: -0.10 eV per formula unit.

***

4.
Here is crystalline Li2Ag6Bi at its relaxed geometry from the Alexandria database. Energies are from GGA-PBE.

POSCAR file:
```
Li2Ag6Bi
1.0
7.2051 -4.1308 0.0000
7.2051 4.1308 0.0000
-0.2712 0.0000 2.9535
Li Ag Bi
2 6 1
Direct
0.1528 0.1528 0.0933
0.8472 0.8472 0.9067
0.1456 0.4996 0.2934
0.1643 0.8357 0.5000
0.4996 0.1456 0.2934
0.5004 0.8544 0.7066
0.8357 0.1643 0.5000
0.8544 0.5004 0.7066
0.5000 0.5000 0.0000
```

Summary:
As for the raw total energy: -2.767 eV per atom. As for the space-group type: C2/m, No. 12. As for the calculated formation energy: -0.09 eV per formula unit.

***

5.
Here is crystalline LiLa2CoAg at its relaxed geometry from the Alexandria database. Energies are from GGA-PBE.

POSCAR file:
```
LiLa2CoAg
1.0
5.1571 0.0000 0.0000
0.0000 5.1571 0.0000
0.0000 0.0000 5.1463
Li La Co Ag
1 2 1 1
Direct
0.0000 0.0000 0.0000
0.0000 0.5000 0.5000
0.5000 0.0000 0.5000
0.5000 0.5000 0.5000
0.5000 0.5000 0.0000
```

Summary:
The value obtained for the polymorph energy (0 for the lowest one) is 0.042 eV/atom. As for the raw total energy: -4.350 eV per atom. As for the space-group type: P4/mmm, No. 123. As for the calculated formation energy: -0.03 eV per formula unit.

***

6.
Here is crystalline AgPtPb4 at its relaxed geometry from the Alexandria database. Energies are from GGA-PBE.

POSCAR file:
```
AgPtPb4
1.0
-3.4910 3.4910 6.3552
3.4910 -3.4910 6.3552
3.4910 3.4910 -6.3552
Ag Pt Pb
2 2 8
Direct
0.2500 0.2500 0.0000
0.7500 0.7500 0.0000
0.0000 0.0000 0.0000
0.5000 0.5000 0.0000
0.0408 0.5408 0.8314
0.2094 0.0408 0.5000
0.2906 0.7906 0.8314
0.4592 0.2906 0.5000
0.5408 0.7094 0.5000
0.7094 0.2094 0.1686
0.7906 0.9592 0.5000
0.9592 0.4592 0.1686
```

Summary:
The value obtained for the polymorph energy (0 for the lowest one) is 0.000 eV/atom. As for the raw total energy: -3.967 eV per atom. As for the space-group type: I4/mcm, No. 140. As for the calculated formation energy: -0.07 eV per formula unit.

***

V for the records above, in order: 17.77; 30.80; 32.18; 19.53; 27.37; 25.82 Å³/atom